P | The following is a PBE with a Hubbard U calculation of crystalline NbNiNF2 at its relaxed geometry, from the Alexandria database.

## Properties
Space group: P4/mmm, No. 123
Magnetic moment (μB/atom): 0.36

```
5
Lattice="-0.801 3.297 0.237 -0.974 -0.003 -3.259 -6.135 -1.622 1.836" Properties=species:S:1:pos:R:3 pbc="T T T"
Ni 0.000 0.000 0.000
Nb -3.955 0.836 -0.593
N -3.068 -0.811 0.918
F -0.487 -0.001 -1.629
F -0.401 1.649 0.118
```

Q | The following is a PBE with a Hubbard U calculation of crystalline NbNiNF2 at its relaxed geometry, from the Alexandria database.

## Properties
Space group: P4/mmm, No. 123
Magnetic moment (μB/atom): 0.20

```
5
Lattice="-0.707 1.211 -3.888 -4.032 0.342 0.840 0.556 3.860 1.101" Properties=species:S:1:pos:R:3 pbc="T T T"
Ni -2.092 2.706 -0.973
Nb 0.000 0.000 0.000
N 0.278 1.930 0.551
F -2.016 0.171 0.420
F -0.354 0.606 -1.944
```

Most stable structure among those shown: Q.